LiTi6O12: optimized geometry, PBEsol.

Computed properties:
- Crystal system: monoclinic
- Formation energy (no corrections): -2.9536 eV per atom
- Mass density: 3.87 g/cm³
- SG: No. 4
- Total magnetization: 1.9 μB per cell

Cell lengths 5.7708, 7.6941, 9.5139 Å; angles 90.00, 90.00, 99.33 degrees
Closest atoms and distances in Å follow each position.
Positions (direct):
O 0.9640 0.0112 0.5359  3 Ti 1.93-2.04, 1 Li 1.97
O 0.6979 0.6510 0.0341  3 Ti 1.90-2.08
O 0.6236 0.1941 0.2241  3 Ti 1.92-2.02
O 0.1176 0.1905 0.2719  3 Ti 1.95-2.01
O 0.1290 0.6844 0.9648  3 Ti 1.91-1.98
O 0.0360 0.9888 0.0359  3 Ti 1.93-2.04, 1 Li 1.97
O 0.3609 0.3131 0.0356  3 Ti 1.95-2.03, 1 Li 1.97
O 0.4680 0.0156 0.9665  3 Ti 1.95-1.99
O 0.2025 0.6478 0.4659  1 Li 1.83, 3 Ti 1.94-2.03
O 0.9449 0.5274 0.2271  3 Ti 1.91-2.02
O 0.2788 0.8545 0.2286  3 Ti 1.92-2.04
O 0.3021 0.3490 0.5341  3 Ti 1.90-2.08
O 0.2073 0.1467 0.7844  3 Ti 1.96-2.02, 1 Li 2.08
O 0.3764 0.8059 0.7241  3 Ti 1.92-2.02
O 0.5320 0.9844 0.4665  3 Ti 1.95-1.99
O 0.8824 0.8095 0.7719  3 Ti 1.95-2.01
O 0.6391 0.6869 0.5356  3 Ti 1.95-2.03, 1 Li 1.97
O 0.4485 0.5265 0.2744  3 Ti 1.90-1.99
O 0.8710 0.3156 0.4648  3 Ti 1.91-1.98
O 0.5515 0.4735 0.7744  3 Ti 1.90-1.99
O 0.7975 0.3522 0.9659  1 Li 1.83, 3 Ti 1.94-2.03
O 0.7212 0.1455 0.7286  3 Ti 1.92-2.04
O 0.0551 0.4726 0.7271  3 Ti 1.91-2.02
O 0.7927 0.8533 0.2844  3 Ti 1.96-2.02, 1 Li 2.08
Ti 0.4772 0.7625 0.3642  6 O 1.93-2.01
Ti 0.6716 0.9152 0.6455  6 O 1.92-2.03
Ti 0.0316 0.2355 0.6313  6 O 1.90-2.04
Ti 0.5228 0.2375 0.8642  6 O 1.93-2.01
Ti 0.8086 0.0992 0.3633  6 O 1.91-2.04
Ti 0.1914 0.9008 0.8633  6 O 1.91-2.04
Ti 0.8593 0.5754 0.8536  6 O 1.91-2.08
Ti 0.9684 0.7645 0.1313  6 O 1.90-2.04
Ti 0.3284 0.0848 0.1455  6 O 1.92-2.03
Ti 0.6336 0.4345 0.1363  6 O 1.90-2.03
Ti 0.3664 0.5655 0.6363  6 O 1.90-2.03
Ti 0.1407 0.4246 0.3536  6 O 1.91-2.08
Li 0.9558 0.7711 0.4621  3 O 1.83-1.97
Li 0.0442 0.2289 0.9621  3 O 1.83-1.97